CaTlMo2O8 | GGA+U | relaxed

The electronic total energy comes out at -6.558 eV per atom.

Lattice parameters (Å, degrees): 6.3484 6.3484 6.3484 106.83 106.83 114.90
With the nearest neighbours (Å) after each atom.
Atoms (fractional coordinates):
Ca  0.0000  0.0000  0.0000  8 O 2.42-2.66
Tl  0.7500  0.2500  0.5000  8 O 2.46-2.75
Mo  0.2500  0.7500  0.5000  4 O 1.80
Mo  0.5000  0.5000  0.0000  4 O 1.80
O  0.0929  0.4017  0.3088  1 Mo 1.80
O  0.0929  0.7842  0.6912  1 Mo 1.80
O  0.1493  0.3328  0.8165  1 Mo 1.80
O  0.2158  0.9071  0.3088  1 Mo 1.80
O  0.5163  0.3328  0.1835  1 Mo 1.80
O  0.5983  0.9071  0.6912  1 Mo 1.80
O  0.6672  0.4837  0.8165  1 Mo 1.80
O  0.6672  0.8507  0.1835  1 Mo 1.80